Compound: TiAl6Fe
Source: Alexandria
Functional: PBE-GGA
Structure: relaxed

```
TiAl6Fe
1.0
-1.9838 2.6796 -2.1109
2.0496 -2.1577 -4.6653
-4.3176 -3.4467 -0.3176
Al Ti Fe
6 1 1
Direct
0.0000 0.7450 0.2550
0.5000 0.5000 0.0000
0.5000 0.0000 0.5000
0.0000 0.2550 0.7450
0.0000 0.7457 0.7457
0.0000 0.2543 0.2543
0.5000 0.0000 0.0000
0.5000 0.5000 0.5000
```

## Properties
The space-group type is Cmmm. Its relative energy among the computed polymorphs is 0 meV per atom. For the size of the total moment, the calculation gives 0.31 μB/atom. The value obtained for the calculated density is 3650 kg/m3.